# Ac5TeP4 PBE-GGA optimized geometry
data_Ac5TeP4
_chemical_formula_sum 'Ac10 Te2 P8'
_space_group_name_H-M_alt 'I m m m'
_space_group_IT_number 71
_space_group_name_Hall '-I 2 2'
_cell_length_a 4.474
_cell_length_b 6.392
_cell_length_c 22.621
_cell_angle_alpha 90.00
_cell_angle_beta 90.00
_cell_angle_gamma 90.00
loop_
_atom_site_label
_atom_site_fract_x
_atom_site_fract_y
_atom_site_fract_z
_atom_site_occupancy
Ac1 0.000 0.000 0.000 1
Ac2 0.000 0.000 0.199 1
Ac3 0.000 0.000 0.388 1
Te1 0.000 0.500 0.000 1
P1 0.000 0.500 0.203 1
P2 0.000 0.500 0.401 1
# - ρ (kg/m3) = 7117
# - formation energy from raw total energies (kJ per mole of atoms) = -144.6